Entry 1:
Material: Mn3O2F4
Method: DFT, GGA+U
State: optimized geometry

Its distance to the lowest polymorph of the same formula is 1 meV/atom. Its spin magnetization is 26.00 Bohr magnetons per cell.

a = 4.8674 Å, b = 14.4782 Å, c = 3.1610 Å
α = 90.00°, β = 90.00°, γ = 90.00°
With the nearest neighbours (Å) after each atom.
Space group Pnnm (No. 58)
Symmetry-distinct sites (fractional):
Mn 0.0000 0.0000 0.0000 x2  2 O 1.91, 4 F 2.09
Mn 0.0698 0.3424 0.0000 x4  2 O 1.98, 2 F 2.11
O 0.2369 0.4022 0.5000 x4  3 Mn 1.91-1.98
F 0.1298 0.7268 0.5000 x4  3 Mn 2.11-2.22
F 0.2066 0.0636 0.5000 x4  3 Mn 2.09-2.23

---

Entry 2:
Material: NaNpFeF6
Method: DFT, GGA+U
State: optimized geometry

For the energy, the calculation gives -6.25 eV per atom. Its spin magnetization is 14.59 Bohr magnetons per cell.

a = 5.8168 Å, b = 5.8168 Å, c = 9.6268 Å
α = 90.00°, β = 90.00°, γ = 120.00°
With the nearest neighbours (Å) after each atom.
Space group P-31c (No. 163)
Symmetry-distinct sites (fractional):
Na 0.0000 0.0000 0.0000 x2  6 F 2.38
Np 0.3333 0.6667 0.2500 x2  6 F 2.27
Fe 0.3333 0.6667 0.7500 x2  6 F 2.17
F 0.0134 0.3523 0.6321 x12  1 Fe 2.17, 1 Np 2.27, 1 Na 2.38